# 1
! Cs2HfTe (PBE, optimized geometry); values from VASP
! - formation energy (no corrections) (meV/atom) = 254
! - energy (eV/atom) = -3.45
! - total magnetic moment (μB/f.u.) = 2.00
! - space group = I-42d, No. 122
! - crystal system = tetragonal
! - E above lowest polymorph (meV per atom) = 0.0
! - volume (Å³/cell) = 543
&SYSTEM
  ibrav = 0, nat = 8, ntyp = 3
/
ATOMIC_SPECIES
Cs 132.91 Cs.upf
Hf 178.49 Hf.upf
Te 127.60 Te.upf
CELL_PARAMETERS angstrom
-7.006 7.006 2.767
7.006 -7.006 2.767
7.006 7.006 -2.767
ATOMIC_POSITIONS crystal
Cs 0.715 0.375 0.840
Cs 0.535 0.875 0.160
Cs 0.125 0.285 0.660
Cs 0.625 0.465 0.340
Hf 0.000 0.000 0.000
Hf 0.250 0.750 0.500
Te 0.500 0.500 0.000
Te 0.750 0.250 0.500

# 2
! Cs3HfTe3 (PBE, optimized geometry); values from VASP
! - formation energy (no corrections) (meV/atom) = -978
! - energy (eV/atom) = -4.11
! - total magnetic moment (μB/f.u.) = 0.00
! - space group = C2/m, No. 12
! - crystal system = monoclinic
! - volume (Å³/cell) = 703
&SYSTEM
  ibrav = 0, nat = 14, ntyp = 3
/
ATOMIC_SPECIES
Cs 132.91 Cs.upf
Hf 178.49 Hf.upf
Te 127.60 Te.upf
CELL_PARAMETERS angstrom
9.174 0.248 -0.330
-3.865 8.324 -0.330
-1.130 -1.824 9.229
ATOMIC_POSITIONS crystal
Cs 0.608 0.608 0.366
Cs 0.170 0.830 0.500
Cs 0.830 0.170 0.500
Cs 0.280 0.720 0.000
Cs 0.720 0.280 0.000
Cs 0.392 0.392 0.634
Hf 0.859 0.859 0.865
Hf 0.141 0.141 0.135
Te 0.872 0.872 0.165
Te 0.866 0.573 0.725
Te 0.573 0.866 0.725
Te 0.134 0.427 0.275
Te 0.427 0.134 0.275
Te 0.128 0.128 0.835

# 3
! CsHfTe2 (PBE, optimized geometry); values from VASP
! - formation energy (no corrections) (meV/atom) = 2
! - energy (eV/atom) = -4.27
! - total magnetic moment (μB/f.u.) = 0.00
! - space group = P4/mmm, No. 123
! - crystal system = tetragonal
! - volume (Å³/cell) = 251
&SYSTEM
  ibrav = 0, nat = 8, ntyp = 3
/
ATOMIC_SPECIES
Cs 132.91 Cs.upf
Te 127.60 Te.upf
Hf 178.49 Hf.upf
CELL_PARAMETERS angstrom
-0.919 -8.445 1.232
7.897 -1.311 -3.098
4.771 -4.561 2.202
ATOMIC_POSITIONS crystal
Cs 0.750 0.250 0.500
Cs 0.250 0.750 0.500
Te 0.750 0.250 0.000
Te 0.250 0.750 0.000
Te 0.250 0.250 0.000
Te 0.750 0.750 0.000
Hf 0.750 0.750 0.500
Hf 0.250 0.250 0.500

# 4
! CsHfTe2 (PBE, optimized geometry); values from VASP
! - formation energy (no corrections) (meV/atom) = -753
! - energy (eV/atom) = -5.03
! - total magnetic moment (μB/f.u.) = 0.00
! - space group = Pnma, No. 62
! - crystal system = orthorhombic
! - volume (Å³/cell) = 602
&SYSTEM
  ibrav = 0, nat = 16, ntyp = 3
/
ATOMIC_SPECIES
Cs 132.91 Cs.upf
Te 127.60 Te.upf
Hf 178.49 Hf.upf
CELL_PARAMETERS angstrom
8.893 0.000 0.000
0.000 5.216 0.000
0.000 0.000 12.984
ATOMIC_POSITIONS crystal
Cs 0.386 0.250 0.375
Cs 0.114 0.750 0.875
Cs 0.614 0.750 0.625
Cs 0.886 0.250 0.125
Te 0.830 0.250 0.435
Te 0.670 0.750 0.935
Te 0.170 0.750 0.565
Te 0.330 0.250 0.065
Te 0.352 0.250 0.740
Te 0.148 0.750 0.240
Te 0.648 0.750 0.260
Te 0.852 0.250 0.760
Hf 0.045 0.250 0.597
Hf 0.455 0.750 0.097
Hf 0.955 0.750 0.403
Hf 0.545 0.250 0.903

# 5
! CsHfTe2 (PBE, optimized geometry); values from VASP
! - formation energy (no corrections) (meV/atom) = -850
! - energy (eV/atom) = -5.12
! - total magnetic moment (μB/f.u.) = 0.00
! - space group = Cm, No. 8
! - crystal system = monoclinic
! - volume (Å³/cell) = 138
&SYSTEM
  ibrav = 0, nat = 4, ntyp = 3
/
ATOMIC_SPECIES
Cs 132.91 Cs.upf
Te 127.60 Te.upf
Hf 178.49 Hf.upf
CELL_PARAMETERS angstrom
-3.185 -2.683 0.431
2.153 1.248 3.365
-7.137 5.609 2.486
ATOMIC_POSITIONS crystal
Cs 0.980 0.093 0.688
Te 0.109 0.657 0.998
Te 0.530 0.867 0.367
Hf 0.320 0.262 0.181

# 6
! CsHfTe2 (PBE, optimized geometry); values from VASP
! - formation energy (no corrections) (meV/atom) = -841
! - energy (eV/atom) = -5.11
! - total magnetic moment (μB/f.u.) = 0.00
! - space group = P-3m1, No. 164
! - crystal system = trigonal
! - volume (Å³/cell) = 139
&SYSTEM
  ibrav = 0, nat = 4, ntyp = 3
/
ATOMIC_SPECIES
Cs 132.91 Cs.upf
Te 127.60 Te.upf
Hf 178.49 Hf.upf
CELL_PARAMETERS angstrom
4.183 0.000 0.000
2.092 3.622 0.000
0.000 -0.001 9.182
ATOMIC_POSITIONS crystal
Cs 0.235 0.102 0.684
Te 0.901 0.769 0.000
Te 0.568 0.436 0.367
Hf 0.235 0.102 0.183

# 7
! CsHfTe2 (PBE, optimized geometry); values from VASP
! - formation energy (no corrections) (meV/atom) = -646
! - energy (eV/atom) = -4.92
! - total magnetic moment (μB/f.u.) = 1.00
! - space group = Pnma, No. 62
! - crystal system = orthorhombic
! - volume (Å³/cell) = 752
&SYSTEM
  ibrav = 0, nat = 16, ntyp = 3
/
ATOMIC_SPECIES
Cs 132.91 Cs.upf
Te 127.60 Te.upf
Hf 178.49 Hf.upf
CELL_PARAMETERS angstrom
8.386 0.000 0.000
0.000 10.523 0.000
0.000 0.000 8.522
ATOMIC_POSITIONS crystal
Cs 0.165 0.823 0.000
Cs 0.835 0.177 0.500
Cs 0.335 0.323 0.500
Cs 0.665 0.677 0.000
Te 0.500 0.000 0.250
Te 0.500 0.000 0.750
Te 0.000 0.500 0.750
Te 0.000 0.500 0.250
Te 0.071 0.866 0.500
Te 0.929 0.134 0.000
Te 0.429 0.366 0.000
Te 0.571 0.634 0.500
Hf 0.097 0.361 0.000
Hf 0.903 0.639 0.500
Hf 0.403 0.861 0.500
Hf 0.597 0.139 0.000

# 8
! CsHf3Te6 (PBE, optimized geometry); values from VASP
! - formation energy (no corrections) (meV/atom) = -817
! - energy (eV/atom) = -5.77
! - total magnetic moment (μB/f.u.) = 0.00
! - space group = P2_1/m, No. 11
! - crystal system = monoclinic
! - volume (Å³/cell) = 658
&SYSTEM
  ibrav = 0, nat = 20, ntyp = 3
/
ATOMIC_SPECIES
Cs 132.91 Cs.upf
Hf 178.49 Hf.upf
Te 127.60 Te.upf
CELL_PARAMETERS angstrom
4.029 0.000 0.000
0.000 12.448 -3.989
0.000 0.361 12.997
ATOMIC_POSITIONS crystal
Cs 0.750 0.616 0.893
Cs 0.250 0.384 0.107
Hf 0.750 0.352 0.470
Hf 0.250 0.648 0.530
Hf 0.750 0.737 0.310
Hf 0.250 0.263 0.690
Hf 0.750 0.960 0.849
Hf 0.250 0.040 0.151
Te 0.750 0.160 0.536
Te 0.250 0.840 0.464
Te 0.750 0.135 0.045
Te 0.250 0.865 0.955
Te 0.750 0.753 0.680
Te 0.250 0.247 0.320
Te 0.750 0.537 0.372
Te 0.250 0.463 0.628
Te 0.750 0.331 0.848
Te 0.250 0.669 0.152
Te 0.750 0.946 0.250
Te 0.250 0.054 0.750

# 9
! CsHfTe2 (PBE, optimized geometry); values from VASP
! - formation energy (no corrections) (meV/atom) = -633
! - energy (eV/atom) = -4.91
! - total magnetic moment (μB/f.u.) = 1.00
! - space group = Ima2, No. 46
! - crystal system = orthorhombic
! - volume (Å³/cell) = 716
&SYSTEM
  ibrav = 0, nat = 16, ntyp = 3
/
ATOMIC_SPECIES
Cs 132.91 Cs.upf
Te 127.60 Te.upf
Hf 178.49 Hf.upf
CELL_PARAMETERS angstrom
8.652 0.000 0.000
0.000 10.055 0.000
0.000 0.000 8.227
ATOMIC_POSITIONS crystal
Cs 0.000 0.456 0.920
Cs 0.000 0.544 0.420
Cs 0.500 0.956 0.420
Cs 0.500 0.044 0.920
Te 0.250 0.750 0.127
Te 0.750 0.250 0.627
Te 0.250 0.250 0.627
Te 0.750 0.750 0.127
Te 0.000 0.862 0.683
Te 0.000 0.138 0.183
Te 0.500 0.362 0.183
Te 0.500 0.638 0.683
Hf 0.000 0.894 0.019
Hf 0.000 0.106 0.519
Hf 0.500 0.394 0.519
Hf 0.500 0.606 0.019

# 10
! CsHfTlTe3 (PBE, optimized geometry); values from VASP
! - formation energy (no corrections) (meV/atom) = -775
! - energy (eV/atom) = -4.54
! - total magnetic moment (μB/f.u.) = 0.00
! - space group = C2/c, No. 15
! - crystal system = monoclinic
! - volume (Å³/cell) = 520
&SYSTEM
  ibrav = 0, nat = 12, ntyp = 4
/
ATOMIC_SPECIES
Cs 132.91 Cs.upf
Hf 178.49 Hf.upf
Tl 204.38 Tl.upf
Te 127.60 Te.upf
CELL_PARAMETERS angstrom
7.697 0.069 0.000
1.721 8.140 0.000
0.860 4.070 8.308
ATOMIC_POSITIONS crystal
Cs 0.250 0.250 0.500
Cs 0.750 0.750 0.500
Hf 0.750 0.048 0.903
Hf 0.250 0.952 0.097
Tl 0.250 0.585 0.830
Tl 0.750 0.415 0.170
Te 0.505 0.816 0.919
Te 0.995 0.265 0.919
Te 0.750 0.212 0.577
Te 0.495 0.184 0.081
Te 0.005 0.735 0.081
Te 0.250 0.788 0.423

# 11
! Cs3Tm3HfTe8 (PBE, optimized geometry); values from VASP
! - formation energy (no corrections) (meV/atom) = -1254
! - energy (eV/atom) = -4.66
! - total magnetic moment (μB/f.u.) = 0.00
! - space group = R-3m, No. 166
! - crystal system = trigonal
! - volume (Å³/cell) = 606
&SYSTEM
  ibrav = 0, nat = 15, ntyp = 4
/
ATOMIC_SPECIES
Cs 132.91 Cs.upf
Tm 168.93 Tm.upf
Hf 178.49 Hf.upf
Te 127.60 Te.upf
CELL_PARAMETERS angstrom
-4.030 -7.743 0.688
3.333 3.849 7.121
-8.832 4.280 -3.563
ATOMIC_POSITIONS crystal
Cs 0.000 0.000 0.000
Cs 0.000 0.500 0.000
Cs 0.500 0.500 0.000
Tm 0.500 0.000 0.500
Tm 0.500 0.500 0.500
Tm 0.000 0.500 0.500
Hf 0.000 0.000 0.500
Te 0.271 0.541 0.312
Te 0.729 0.459 0.688
Te 0.779 0.557 0.317
Te 0.221 0.443 0.683
Te 0.779 0.038 0.317
Te 0.221 0.962 0.683
Te 0.260 0.038 0.317
Te 0.740 0.962 0.683

# 12
! Cs3Tm2HfTe6 (PBE, optimized geometry); values from VASP
! - formation energy (no corrections) (meV/atom) = -1172
! - energy (eV/atom) = -4.53
! - total magnetic moment (μB/f.u.) = 0.00
! - space group = C2/m, No. 12
! - crystal system = monoclinic
! - volume (Å³/cell) = 450
&SYSTEM
  ibrav = 0, nat = 12, ntyp = 4
/
ATOMIC_SPECIES
Cs 132.91 Cs.upf
Tm 168.93 Tm.upf
Hf 178.49 Hf.upf
Te 127.60 Te.upf
CELL_PARAMETERS angstrom
7.631 -0.001 0.000
-3.815 6.610 0.000
-1.273 -2.204 8.928
ATOMIC_POSITIONS crystal
Cs 0.171 0.829 0.500
Cs 0.829 0.171 0.500
Cs 0.500 0.500 0.500
Tm 0.334 0.666 0.000
Tm 0.666 0.334 0.000
Hf 0.000 0.000 0.000
Te 0.938 0.617 0.814
Te 0.742 0.742 0.188
Te 0.062 0.383 0.186
Te 0.617 0.938 0.814
Te 0.258 0.258 0.812
Te 0.383 0.062 0.186

# 13
! Cs3HfU3Te8 (PBE, optimized geometry); values from VASP
! - formation energy (no corrections) (meV/atom) = -840
! - energy (eV/atom) = -5.61
! - total magnetic moment (μB/f.u.) = 9.01
! - space group = R-3m, No. 166
! - crystal system = trigonal
! - volume (Å³/cell) = 618
&SYSTEM
  ibrav = 0, nat = 15, ntyp = 4
/
ATOMIC_SPECIES
Cs 132.91 Cs.upf
Hf 178.49 Hf.upf
U 238.03 U.upf
Te 127.60 Te.upf
CELL_PARAMETERS angstrom
-5.801 -2.916 -5.907
-1.580 -1.015 8.574
-1.313 9.846 -3.571
ATOMIC_POSITIONS crystal
Cs 0.000 0.000 0.000
Cs 0.000 0.500 0.000
Cs 0.500 0.500 0.000
Hf 0.000 0.000 0.500
U 0.500 0.000 0.500
U 0.500 0.500 0.500
U 0.000 0.500 0.500
Te 0.268 0.536 0.304
Te 0.732 0.464 0.696
Te 0.780 0.559 0.314
Te 0.220 0.441 0.686
Te 0.780 0.034 0.314
Te 0.220 0.966 0.686
Te 0.255 0.034 0.314
Te 0.745 0.966 0.686

# 14
! Cs3HfU2Te6 (PBE, optimized geometry); values from VASP
! - formation energy (no corrections) (meV/atom) = -837
! - energy (eV/atom) = -5.33
! - total magnetic moment (μB/f.u.) = 6.93
! - space group = C2/m, No. 12
! - crystal system = monoclinic
! - volume (Å³/cell) = 461
&SYSTEM
  ibrav = 0, nat = 12, ntyp = 4
/
ATOMIC_SPECIES
Cs 132.91 Cs.upf
Hf 178.49 Hf.upf
U 238.03 U.upf
Te 127.60 Te.upf
CELL_PARAMETERS angstrom
-0.242 -0.815 7.639
-5.135 -3.633 -4.417
7.322 -5.617 -1.659
ATOMIC_POSITIONS crystal
Cs 0.172 0.828 0.500
Cs 0.828 0.172 0.500
Cs 0.500 0.500 0.500
Hf 0.000 0.000 0.000
U 0.334 0.666 0.000
U 0.666 0.334 0.000
Te 0.937 0.621 0.811
Te 0.748 0.748 0.192
Te 0.063 0.379 0.189
Te 0.621 0.937 0.811
Te 0.252 0.252 0.808
Te 0.379 0.063 0.189

# 15
! CsHfTeW2 (PBE, optimized geometry); values from VASP
! - formation energy (no corrections) (meV/atom) = 3218
! - energy (eV/atom) = -4.75
! - total magnetic moment (μB/f.u.) = 0.00
! - space group = P4/mmm, No. 123
! - crystal system = tetragonal
! - volume (Å³/cell) = 131
&SYSTEM
  ibrav = 0, nat = 5, ntyp = 4
/
ATOMIC_SPECIES
Cs 132.91 Cs.upf
Te 127.60 Te.upf
Hf 178.49 Hf.upf
W 183.84 W.upf
CELL_PARAMETERS angstrom
-2.586 -3.061 2.993
-1.765 -2.592 -4.176
3.933 -3.079 0.249
ATOMIC_POSITIONS crystal
Cs 0.000 0.000 0.000
Te 0.500 0.500 0.500
Hf 0.000 0.500 0.000
W 0.000 0.000 0.500
W 0.500 0.000 0.000

# 16
! CsHf2Ti2 (PBE, optimized geometry); values from VASP
! - energy (eV/atom) = -6.54
! - total magnetic moment (μB/f.u.) = 0.00
! - space group = P4/mbm, No. 127
! - formation enthalpy at 0 K (eV per atom) = 0.772
! - crystal system = tetragonal
! - volume (Å³/cell) = 254
&SYSTEM
  ibrav = 0, nat = 10, ntyp = 3
/
ATOMIC_SPECIES
Cs 132.91 Cs.upf
Hf 178.49 Hf.upf
Ti 47.87 Ti.upf
CELL_PARAMETERS angstrom
-3.104 6.849 -4.802
-0.834 -5.350 -7.092
-2.973 -0.721 0.893
ATOMIC_POSITIONS crystal
Cs 0.000 0.000 0.000
Cs 0.500 0.500 0.000
Hf 0.160 0.660 0.500
Hf 0.660 0.840 0.500
Hf 0.840 0.340 0.500
Hf 0.340 0.160 0.500
Ti 0.389 0.889 0.000
Ti 0.889 0.611 0.000
Ti 0.611 0.111 0.000
Ti 0.111 0.389 0.000

# 17
! Cs2Hf2Tl (PBE, optimized geometry); values from VASP
! - energy (eV/atom) = -4.05
! - total magnetic moment (μB/f.u.) = 0.87
! - space group = I4/mmm, No. 139
! - formation enthalpy at 0 K (eV per atom) = 0.748
! - crystal system = tetragonal
! - E above lowest polymorph (meV per atom) = 0.0
! - volume (Å³/cell) = 213
&SYSTEM
  ibrav = 0, nat = 5, ntyp = 3
/
ATOMIC_SPECIES
Cs 132.91 Cs.upf
Tl 204.38 Tl.upf
Hf 178.49 Hf.upf
CELL_PARAMETERS angstrom
3.977 0.000 0.000
0.000 3.977 0.000
1.988 1.988 13.470
ATOMIC_POSITIONS crystal
Cs 0.389 0.389 0.221
Cs 0.611 0.611 0.779
Tl 0.000 0.000 0.000
Hf 0.750 0.250 0.500
Hf 0.250 0.750 0.500

# 18
! CsHfTl3 (PBE, optimized geometry); values from VASP
! - energy (eV/atom) = -1.96
! - total magnetic moment (μB/f.u.) = 1.95
! - space group = Pm-3m, No. 221
! - formation enthalpy at 0 K (eV per atom) = 1.619
! - crystal system = cubic
! - E above lowest polymorph (meV per atom) = 1378.1
! - volume (Å³/cell) = 240
&SYSTEM
  ibrav = 0, nat = 5, ntyp = 3
/
ATOMIC_SPECIES
Cs 132.91 Cs.upf
Tl 204.38 Tl.upf
Hf 178.49 Hf.upf
CELL_PARAMETERS angstrom
6.215 0.000 0.000
0.000 6.215 0.000
0.000 0.000 6.215
ATOMIC_POSITIONS crystal
Cs 0.000 0.000 0.000
Tl 0.000 0.500 0.000
Tl 0.000 0.000 0.500
Tl 0.500 0.000 0.000
Hf 0.500 0.500 0.500

# 19
! CsHfTl3 (PBE, optimized geometry); values from VASP
! - energy (eV/atom) = -3.34
! - total magnetic moment (μB/f.u.) = 0.00
! - space group = Pm-3m, No. 221
! - formation enthalpy at 0 K (eV per atom) = 0.241
! - crystal system = cubic
! - E above lowest polymorph (meV per atom) = 0.0
! - volume (Å³/cell) = 195
&SYSTEM
  ibrav = 0, nat = 5, ntyp = 3
/
ATOMIC_SPECIES
Cs 132.91 Cs.upf
Tl 204.38 Tl.upf
Hf 178.49 Hf.upf
CELL_PARAMETERS angstrom
-4.098 -1.149 3.940
0.014 -5.572 -1.611
4.104 -1.129 3.939
ATOMIC_POSITIONS crystal
Cs 0.500 0.500 0.500
Tl 0.000 0.500 0.000
Tl 0.000 0.000 0.500
Tl 0.500 0.000 0.000
Hf 0.000 0.000 0.000

# 20
! CsHf3Tl (PBE, optimized geometry); values from VASP
! - energy (eV/atom) = -4.39
! - total magnetic moment (μB/f.u.) = 0.00
! - space group = Pm-3m, No. 221
! - formation enthalpy at 0 K (eV per atom) = 2.223
! - crystal system = cubic
! - E above lowest polymorph (meV per atom) = 636.4
! - volume (Å³/cell) = 149
&SYSTEM
  ibrav = 0, nat = 5, ntyp = 3
/
ATOMIC_SPECIES
Cs 132.91 Cs.upf
Tl 204.38 Tl.upf
Hf 178.49 Hf.upf
CELL_PARAMETERS angstrom
-5.039 0.925 -1.345
-1.494 -0.854 5.009
0.658 5.145 1.073
ATOMIC_POSITIONS crystal
Cs 0.000 0.000 0.000
Tl 0.500 0.500 0.500
Hf 0.000 0.500 0.000
Hf 0.000 0.000 0.500
Hf 0.500 0.000 0.000